Density functional theory data (PBE) for a relaxed structure of LiPm2AlAg6.

a = 6.8196 Å, b = 6.8657 Å, c = 6.8136 Å
α = 91.12°, β = 48.50°, γ = 110.57°
Sites, in units of the cell vectors:
Ag 0.3111 0.8136 0.0022
Ag 0.8132 0.8125 0.5008
Ag 0.2526 0.4292 0.8244
Al 0.0000 0.0000 0.0000
Ag 0.6889 0.1864 0.9978
Ag 0.1868 0.1875 0.4992
Pm 0.2635 0.7534 0.5089
Pm 0.7365 0.2466 0.4911
Ag 0.7474 0.5708 0.1756
Li 0.5000 0.5000 0.0000

Results
Spin magnetization (μB/cell): 0.0
Volume (A^3/atom): 21.31
ΔE_f (eV per formula unit): -1.40
Raw total energy (eV/atom): -3.367

---

Density functional theory data (PBE) for a relaxed structure of PuGaO.

a = 3.3813 Å, b = 3.3813 Å, c = 9.0187 Å
α = 90.00°, β = 90.00°, γ = 90.00°
Each line ends with the local moment (μB).
Sites, in units of the cell vectors:
Ga 0.5000 0.0000 0.4285  0.00
Pu 0.0000 0.5000 0.1611  5.29
O 0.0000 0.5000 0.9021  -0.12
Pu 0.5000 0.0000 0.8389  5.29
Ga 0.0000 0.5000 0.5715  0.00
O 0.5000 0.0000 0.0979  -0.12

Results
Spin magnetization (μB/cell): 10.9
Volume (A^3/atom): 17.19
ΔE_f (raw) (eV/f.u.): -4.893
Raw total energy (eV/atom): -9.070

---

Density functional theory data (PBE) for a relaxed structure of K3TcCl6F2.

a = 6.2154 Å, b = 8.2673 Å, c = 9.1077 Å
α = 116.99°, β = 112.47°, γ = 90.00°
Each line ends with the local moment (μB).
Sites, in units of the cell vectors:
K 0.5000 0.5000 0.5000  0.00
Cl 0.7296 0.9177 0.8354  0.02
K 0.0000 0.5000 0.0000  0.00
F 0.6834 0.3394 0.6789  -0.10
Tc 0.5000 0.0000 0.0000  1.64
Cl 0.7471 0.8956 0.1923  0.04
Cl 0.2529 0.7033 0.8077  0.04
Cl 0.7471 0.2967 0.1923  0.04
K 0.5000 0.0000 0.5000  0.00
F 0.3166 0.6606 0.3211  -0.10
Cl 0.2529 0.1044 0.8077  0.04
Cl 0.2704 0.0823 0.1646  0.02

Results
Spin magnetization (μB/cell): 1.9
Volume (A^3/atom): 31.39
ΔE_f (raw) (eV/f.u.): -17.842
Raw total energy (eV/atom): -3.860

---

Density functional theory data (PBE) for a relaxed structure of SiSeCl.

a = 3.5853 Å, b = 6.3726 Å, c = 9.5400 Å
α = 106.46°, β = 90.34°, γ = 90.05°
Sites, in units of the cell vectors:
Si 0.5597 0.5025 0.9515
Cl 0.5622 0.3622 0.1203
Si 0.0538 0.3650 0.6011
Cl 0.0504 0.0795 0.4201
Se 0.0603 0.7381 0.9666
Se 0.5558 0.2147 0.7393

Results
Spin magnetization (μB/cell): 0.0
Volume (A^3/atom): 34.84
Polymorph energy (0 for the lowest one) (eV/atom): 0.000
ΔE_f (raw) (eV/f.u.): -1.709
Raw total energy (eV/atom): -4.154

---

Density functional theory data (PBE) for a relaxed structure of Ba2LaZn.

a = 4.0331 Å, b = 4.0331 Å, c = 10.3490 Å
α = 90.00°, β = 90.00°, γ = 90.00°
Sites, in units of the cell vectors:
Ba 0.0000 0.0000 0.9250
Zn 0.5000 0.5000 0.7191
Ba 0.5000 0.5000 0.2792
La 0.0000 0.0000 0.5766

Results
Spin magnetization (μB/cell): 0.0
Volume (A^3/atom): 42.08
ΔE_f (eV per formula unit): -0.26
Raw total energy (eV/atom): -2.577

---

Density functional theory data (PBE) for a relaxed structure of Tm3HgRh4.

a = 4.6889 Å, b = 6.7610 Å, c = 9.3785 Å
α = 90.00°, β = 90.00°, γ = 90.00°
Sites, in units of the cell vectors:
Tm 0.5000 0.5000 0.7500
Tm 0.5001 0.0000 0.7500
Tm 0.0000 0.0000 0.5000
Rh 0.5000 0.7565 0.5000
Tm 0.5000 0.5000 0.2500
Tm 0.4999 0.0000 0.2500
Hg 0.0000 0.5000 0.5000
Rh 0.0001 0.2435 0.7500
Tm 0.0000 0.0000 0.0000
Hg 0.0000 0.5000 0.0000
Rh 0.9999 0.7565 0.2500
Rh 0.9999 0.2435 0.2500
Rh 0.5000 0.2435 0.0000
Rh 0.0001 0.7565 0.7500
Rh 0.5000 0.2435 0.5000
Rh 0.5000 0.7565 0.0000

Results
Spin magnetization (μB/cell): 0.0
Volume (A^3/atom): 18.58
ΔE_f (eV per formula unit): -6.18
Raw total energy (eV/atom): -6.163

---

Density functional theory data (PBE) for a relaxed structure of RbSrTa.

a = 3.5740 Å, b = 6.2694 Å, c = 12.4105 Å
α = 101.63°, β = 96.34°, γ = 73.64°
Sites, in units of the cell vectors:
Ta 0.2958 0.3670 0.4459
Sr 0.0089 0.8679 0.3547
Ta 0.7042 0.6330 0.5541
Rb 0.2893 0.7033 0.8637
Rb 0.7107 0.2967 0.1363
Sr 0.9911 0.1321 0.6453

Results
Spin magnetization (μB/cell): 0.0
Volume (A^3/atom): 43.48
ΔE_f (eV per formula unit): 2.30
Polymorph energy (0 for the lowest one) (eV/atom): 0.307
Raw total energy (eV/atom): -4.067

---

Density functional theory data (PBE) for a relaxed structure of HoHg3.

a = 5.0192 Å, b = 6.6259 Å, c = 6.6252 Å
α = 120.05°, β = 90.00°, γ = 90.00°
Sites, in units of the cell vectors:
Hg 0.7500 0.9582 0.7918
Hg 0.7500 0.9583 0.2918
Hg 0.2500 0.2916 0.9582
Hg 0.7500 0.4577 0.7917
Hg 0.2500 0.7923 0.4583
Hg 0.2500 0.2918 0.4582
Ho 0.2500 0.7915 0.9580
Ho 0.7500 0.4585 0.2920

Results
Spin magnetization (μB/cell): 0.0
Volume (A^3/atom): 23.84
ΔE_f (eV per formula unit): -1.33
Raw total energy (eV/atom): -1.704

---

Density functional theory data (PBE) for a relaxed structure of MnFe2Si.

a = 3.9074 Å, b = 3.9074 Å, c = 2.8594 Å
α = 90.00°, β = 90.00°, γ = 90.00°
Each line ends with the local moment (μB).
Sites, in units of the cell vectors:
Fe 0.5000 0.5000 0.0000  0.18
Si 0.0000 0.5000 0.5000  -0.02
Fe 0.0000 0.0000 0.0000  0.18
Mn 0.5000 0.0000 0.5000  2.65

Results
Spin magnetization (μB/cell): 3.0
Volume (A^3/atom): 10.91
ΔE_f (raw) (eV/f.u.): -1.145
Raw total energy (eV/atom): -8.166

---

Density functional theory data (PBE) for a relaxed structure of Sr2CaBi2.

a = 7.1308 Å, b = 8.5943 Å, c = 8.6868 Å
α = 119.65°, β = 114.23°, γ = 90.00°
Sites, in units of the cell vectors:
Sr 0.8563 0.7103 0.7127
Sr 0.1437 0.2897 0.2873
Bi 0.8871 0.1340 0.7742
Sr 0.6437 0.9977 0.2873
Ca 0.7500 0.5000 0.0000
Sr 0.3563 0.0023 0.7127
Ca 0.2500 0.5000 0.0000
Bi 0.6129 0.3598 0.2258
Bi 0.3871 0.6402 0.7742
Bi 0.1129 0.8660 0.2258

Results
Spin magnetization (μB/cell): 0.0
Volume (A^3/atom): 40.78
ΔE_f (eV per formula unit): -4.21
Polymorph energy (0 for the lowest one) (eV/atom): 0.000
Raw total energy (eV/atom): -3.467

---

Density functional theory data (PBE) for a relaxed structure of Dy5TlPb4.

a = 6.3419 Å, b = 7.6634 Å, c = 7.6634 Å
α = 80.14°, β = 65.56°, γ = 65.56°
Sites, in units of the cell vectors:
Pb 0.5740 0.6060 0.1803
Pb 0.7542 0.8197 0.6060
Dy 0.8712 0.4120 0.7815
Dy 0.6527 0.2185 0.4120
Dy 0.0647 0.5880 0.2185
Pb 0.3602 0.3940 0.8197
Dy 0.2833 0.7815 0.5880
Tl 0.1402 0.0000 0.0000
Dy 0.6297 0.0000 0.0000
Pb 0.1800 0.1803 0.3940

Results
Spin magnetization (μB/cell): 0.0
Volume (A^3/atom): 30.87
ΔE_f (eV per formula unit): -2.93
Raw total energy (eV/atom): -4.314

---

Density functional theory data (PBE) for a relaxed structure of Ac2YGe4Pd3.

a = 4.4330 Å, b = 4.4330 Å, c = 11.4577 Å
α = 90.00°, β = 90.00°, γ = 90.00°
Sites, in units of the cell vectors:
Ac 0.5000 0.0000 0.2287
Ge 0.0000 0.5000 0.3403
Ge 0.0000 0.0000 0.0000
Pd 0.0000 0.0000 0.5000
Ac 0.0000 0.5000 0.7713
Pd 0.0000 0.5000 0.1160
Y 0.5000 0.5000 0.5000
Ge 0.5000 0.5000 0.0000
Pd 0.5000 0.0000 0.8840
Ge 0.5000 0.0000 0.6597

Results
Spin magnetization (μB/cell): 0.0
Volume (A^3/atom): 22.52
ΔE_f (eV per formula unit): -8.19
Raw total energy (eV/atom): -5.692

---

- Number 4 is which compound?
  SiSeCl

---

- Which formula does entry 2 have?
  PuGaO